# MgInIO6

A relaxed structure of MgInIO6 (PBE, Alexandria via LeMat-Bulk).

Computed properties:
formation energy (no corrections): -1.153 eV per atom
E_tot: -5.112 eV per atom

Structure (CIF):
```
data_MgInIO6
_symmetry_space_group_name_H-M 'P 1'
_symmetry_Int_Tables_number 1
_cell_length_a 5.3278
_cell_length_b 5.3278
_cell_length_c 9.0150
_cell_angle_alpha 90.00
_cell_angle_beta 90.00
_cell_angle_gamma 120.00
loop_
_symmetry_equiv_pos_as_xyz
'x,y,z'
loop_
_atom_site_label
_atom_site_fract_x
_atom_site_fract_y
_atom_site_fract_z
Mg1 0.0000 0.0000 0.0000
Mg2 0.0000 0.0000 0.5000
In1 0.3333 0.6667 0.2500
In2 0.6667 0.3333 0.7500
I1 0.3333 0.6667 0.7500
I2 0.6667 0.3333 0.2500
O1 0.0388 0.3685 0.6303
O2 0.0388 0.6703 0.8697
O3 0.3297 0.3685 0.8697
O4 0.3297 0.9612 0.6303
O5 0.3685 0.0388 0.1303
O6 0.3685 0.3297 0.3697
O7 0.6315 0.6703 0.6303
O8 0.6315 0.9612 0.8697
O9 0.6703 0.0388 0.3697
O10 0.6703 0.6315 0.1303
O11 0.9612 0.3297 0.1303
O12 0.9612 0.6315 0.3697
```